Record 1
Here is a relaxed structure of BeSiH from Alexandria. Energies are from PBE-GGA.

Computed properties:
- E (eV/atom) = -3.840
- space-group type = Cm (8)

Cell: 4.538 2.448 4.539 Å, 106.00 132.34 74.00°
Fractional coordinates of all 3 atoms:
H 0.073 0.570 0.882
Be 0.271 0.378 0.684
Si 0.866 0.781 0.089

=====

Record 2
Here is a relaxed structure of BeSiH from Alexandria. Energies are from PBE-GGA.

Computed properties:
- E (eV/atom) = -3.708
- space-group type = P1 (1)

Cell: 2.743 2.575 4.302 Å, 75.28 71.60 89.96°
Fractional coordinates of all 3 atoms:
H 0.891 0.827 0.674
Be 0.411 0.605 0.631
Si 0.152 0.913 0.141

=====

Record 3
Here is a relaxed structure of BeSiH from Alexandria. Energies are from PBE-GGA.

Computed properties:
- E (eV/atom) = -4.076
- space-group type = C2 (5)

Cell: 5.503 3.900 6.760 Å, 90.00 113.42 90.00°
Fractional coordinates of all 12 atoms:
H 0.535 0.658 0.352
H 0.465 0.658 0.648
H 0.465 0.158 0.148
H 0.535 0.158 0.852
Be 0.490 0.025 0.647
Be 0.490 0.525 0.147
Be 0.510 0.025 0.353
Be 0.510 0.525 0.853
Si 0.918 0.105 0.642
Si 0.082 0.105 0.358
Si 0.918 0.605 0.142
Si 0.082 0.605 0.858

=====

Record 4
Here is a relaxed structure of Be2SiH from Alexandria. Energies are from PBE-GGA.

Computed properties:
- E (eV/atom) = -3.711
- space-group type = I-42d (122)

Cell: 3.980 3.980 5.510 Å, 68.83 68.83 90.00°
Fractional coordinates of all 8 atoms:
Be 0.875 0.671 0.750
Be 0.329 0.625 0.250
Be 0.375 0.579 0.750
Be 0.421 0.125 0.250
H 0.250 0.750 0.500
H 0.500 0.500 0.000
Si 0.750 0.250 0.500
Si 0.000 0.000 0.000

=====

Record 5
Here is a relaxed structure of BeSiH from Alexandria. Energies are from PBE-GGA.

Computed properties:
- E (eV/atom) = -3.853
- space-group type = Cm (8)

Cell: 4.039 2.660 4.012 Å, 70.62 74.17 109.24°
Fractional coordinates of all 3 atoms:
Si 0.786 0.439 0.131
H 0.198 0.836 0.749
Be 0.571 0.009 0.776

=====

Record 6
Here is a relaxed structure of BeSi3H from Alexandria. Energies are from PBE-GGA.

Computed properties:
- E (eV/atom) = -3.998
- space-group type = Pm-3m (221)

Cell: 3.828 3.828 3.828 Å, 90.00 90.00 90.00°
Fractional coordinates of all 5 atoms:
H 0.000 0.000 0.000
Si 0.000 0.500 0.000
Si 0.500 0.000 0.000
Si 0.000 0.000 0.500
Be 0.500 0.500 0.500

=====

Record 7
Here is a relaxed structure of BeSiH from Alexandria. Energies are from PBE-GGA.

Computed properties:
- E (eV/atom) = -3.766
- space-group type = P1 (1)

Cell: 3.917 2.481 3.573 Å, 90.02 67.15 107.92°
Fractional coordinates of all 3 atoms:
Si 0.776 0.050 0.198
H 0.321 0.837 0.617
Be 0.457 0.397 0.841

=====

Record 8
Here is a relaxed structure of BeSiH from Alexandria. Energies are from PBE-GGA.

Computed properties:
- E (eV/atom) = -3.882
- space-group type = Pm (6)

Cell: 2.323 2.717 5.878 Å, 89.98 100.47 90.00°
Fractional coordinates of all 3 atoms:
Be 0.079 0.147 0.539
Si 0.927 0.647 0.213
H 0.650 0.146 0.694

=====

Number 1: distance to the lowest polymorph of the same formula 235 meV/atom. Number 2: distance to the lowest polymorph of the same formula 368 meV/atom. Number 3: distance to the lowest polymorph of the same formula 0 meV/atom. Number 4: distance to the lowest polymorph of the same formula 0 meV/atom. Number 5: distance to the lowest polymorph of the same formula 222 meV/atom. Number 6: distance to the lowest polymorph of the same formula 0 meV/atom. Number 7: distance to the lowest polymorph of the same formula 310 meV/atom. Number 8: distance to the lowest polymorph of the same formula 194 meV/atom.